Entry 1:
Here is a relaxed AlCrAs2Br crystal from Alexandria. Energies are from GGA-PBE. Values from VASP.

Values from the calculation:
SG = P4/mmm (123)
relative energy among the computed polymorphs = 243 meV per atom
total moment = 0.762 μB per atom
formation energy without anion corrections = 551 meV/atom
calculated density = 4.23 g cm⁻³

The structure in Quantum ESPRESSO input format:
```
&SYSTEM
  ibrav = 0, nat = 5, ntyp = 4
/
ATOMIC_SPECIES
Al 26.98 Al.upf
Cr 52.00 Cr.upf
As 74.92 As.upf
Br 79.90 Br.upf
ATOMIC_POSITIONS crystal
Al 0.0000 0.0000 0.0000
Cr 0.5000 0.5000 0.5000
As 0.0000 0.5000 0.0000
As 0.5000 0.0000 0.0000
Br 0.0000 0.0000 0.5000
CELL_PARAMETERS angstrom
4.8534 0.0000 0.0000
0.0000 4.8534 0.0000
0.0000 0.0000 5.1461
```

---

Entry 2:
Here is a relaxed AlCrAsBr2 crystal from Alexandria. Energies are from GGA-PBE. Values from VASP.

Values from the calculation:
SG = P4/mmm (123)
relative energy among the computed polymorphs = 0 meV per atom
total moment = 0.410 μB per atom
formation energy without anion corrections = 95 meV/atom
calculated density = 3.94 g cm⁻³

The structure in Quantum ESPRESSO input format:
```
&SYSTEM
  ibrav = 0, nat = 5, ntyp = 4
/
ATOMIC_SPECIES
Al 26.98 Al.upf
Cr 52.00 Cr.upf
As 74.92 As.upf
Br 79.90 Br.upf
ATOMIC_POSITIONS crystal
Al 0.0000 0.0000 0.0000
Cr 0.5000 0.5000 0.5000
As 0.5000 0.5000 0.0000
Br 0.0000 0.5000 0.5000
Br 0.5000 0.0000 0.5000
CELL_PARAMETERS angstrom
5.2496 0.0000 0.0000
0.0000 5.2496 0.0000
0.0000 0.0000 4.8025
```

---

Entry 3:
Here is a relaxed AlCrAsBr2 crystal from Alexandria. Energies are from GGA-PBE. Values from VASP.

Values from the calculation:
SG = P4/mmm (123)
relative energy among the computed polymorphs = 184 meV per atom
total moment = 0.760 μB per atom
formation energy without anion corrections = 279 meV/atom
calculated density = 4.05 g cm⁻³

The structure in Quantum ESPRESSO input format:
```
&SYSTEM
  ibrav = 0, nat = 5, ntyp = 4
/
ATOMIC_SPECIES
Al 26.98 Al.upf
Cr 52.00 Cr.upf
As 74.92 As.upf
Br 79.90 Br.upf
ATOMIC_POSITIONS crystal
Al 0.0000 0.0000 0.0000
Cr 0.5000 0.5000 0.5000
As 0.0000 0.0000 0.5000
Br 0.0000 0.5000 0.0000
Br 0.5000 0.0000 0.0000
CELL_PARAMETERS angstrom
5.0109 0.0000 0.0000
0.0000 5.0109 0.0000
0.0000 0.0000 5.1167
```